[1]
Compound: Ac6AgPt3Rh2
Source: Alexandria
Functional: GGA-PBE
Structure: relaxed

Computed properties:
Energy of formation from the pure elements, kJ/mol of formula units: -958

The structure in POSCAR format:
```
Ac6AgPt3Rh2
1.0
9.5290 -2.1935 0.0000
9.5290 2.1935 0.0000
-1.9464 0.0000 8.6119
Ac Ag Pt Rh
6 1 3 2
direct
0.0053 0.0053 0.2688
0.3251 0.3251 0.9042
0.3312 0.3312 0.4183
0.6688 0.6688 0.5817
0.6749 0.6749 0.0958
0.9947 0.9947 0.7312
0.5000 0.5000 0.0000
0.1612 0.1612 0.8368
0.5000 0.5000 0.5000
0.8388 0.8388 0.1632
0.1654 0.1654 0.3313
0.8346 0.8346 0.6687
```

=====

[2]
Compound: RbHfI3
Source: Alexandria
Functional: GGA-PBE
Structure: relaxed

Computed properties:
Excess energy over the best structure of this formula in the dataset, meV per atom: 1341
Formation energy (no corrections), meV per atom: 678.6

The structure in POSCAR format:
```
RbHfI3
1.0
6.4856 0.0000 0.0000
0.0000 6.4856 0.0000
0.0000 0.0000 6.4856
Rb Hf I
1 1 3
direct
0.0000 0.0000 0.0000
0.5000 0.5000 0.5000
0.0000 0.0000 0.5000
0.0000 0.5000 0.0000
0.5000 0.0000 0.0000
```

=====

[3]
Compound: La5TbPm6
Source: Alexandria
Functional: GGA-PBE
Structure: relaxed

Computed properties:
Energy of formation from the pure elements, kJ/mol of formula units: 17

The structure in POSCAR format:
```
La5TbPm6
1.0
3.1925 -5.5305 0.0000
3.1925 5.5305 0.0000
-2.1372 0.0000 11.9854
La Tb Pm
5 1 6
direct
0.0000 0.0000 0.0000
0.1669 0.8331 0.5000
0.3338 0.6662 0.0000
0.6662 0.3338 0.0000
0.8331 0.1669 0.5000
0.5000 0.5000 0.5000
0.0853 0.4174 0.2512
0.2503 0.2503 0.7485
0.4174 0.0853 0.2512
0.5826 0.9147 0.7488
0.7497 0.7497 0.2515
0.9147 0.5826 0.7488
```

=====

[4]
Compound: YTl3Se
Source: Alexandria
Functional: GGA-PBE
Structure: relaxed

Computed properties:
Excess energy over the best structure of this formula in the dataset, meV per atom: 0
Formation energy (no corrections), meV per atom: 337.7

The structure in POSCAR format:
```
YTl3Se
1.0
5.6199 0.0000 0.0000
0.0000 5.6199 0.0000
0.0000 0.0000 5.6199
Y Tl Se
1 3 1
direct
0.0000 0.0000 0.0000
0.0000 0.5000 0.5000
0.5000 0.0000 0.5000
0.5000 0.5000 0.0000
0.5000 0.5000 0.5000
```

=====

[5]
Compound: KTiV2B
Source: Alexandria
Functional: GGA-PBE
Structure: relaxed

Computed properties:
Energy of formation from the pure elements, kJ/mol of formula units: 588

The structure in POSCAR format:
```
KTiV2B
1.0
4.1551 0.0000 0.0000
0.0000 4.1551 0.0000
0.0000 0.0000 5.1329
K Ti V B
1 1 2 1
direct
0.0000 0.0000 0.0000
0.5000 0.5000 0.0000
0.0000 0.5000 0.5000
0.5000 0.0000 0.5000
0.0000 0.0000 0.5000
```

=====

[6]
Compound: TaReRu2
Source: Alexandria
Functional: GGA-PBE
Structure: relaxed

Computed properties:
Excess energy over the best structure of this formula in the dataset, meV per atom: 206
Energy of formation from the pure elements, kJ/mol of formula units: 37

The structure in POSCAR format:
```
TaReRu2
1.0
4.6135 0.0000 0.0000
0.0000 4.6135 0.0000
0.0000 0.0000 2.8817
Ta Re Ru
1 1 2
direct
0.0000 0.0000 0.0000
0.5000 0.5000 0.0000
0.0000 0.5000 0.5000
0.5000 0.0000 0.5000
```

=====

[7]
Compound: NaZn3Ag
Source: Alexandria
Functional: GGA-PBE
Structure: relaxed

Computed properties:
Excess energy over the best structure of this formula in the dataset, meV per atom: 0
Energy of formation from the pure elements, kJ/mol of formula units: 1

The structure in POSCAR format:
```
NaZn3Ag
1.0
2.8525 -6.3252 0.0000
2.8525 6.3252 0.0000
0.0000 0.0000 5.3734
Na Zn Ag
2 6 2
direct
0.0915 0.9085 0.7500
0.9085 0.0915 0.2500
0.1037 0.4202 0.7500
0.3159 0.6841 0.2500
0.4202 0.1037 0.2500
0.5798 0.8963 0.7500
0.6841 0.3159 0.7500
0.8963 0.5798 0.2500
0.5000 0.5000 0.0000
0.5000 0.5000 0.5000
```

=====

[8]
Compound: Zr2MnNb
Source: Alexandria
Functional: GGA-PBE
Structure: relaxed

Computed properties:
Excess energy over the best structure of this formula in the dataset, meV per atom: 424
Energy of formation from the pure elements, kJ/mol of formula units: 186

The structure in POSCAR format:
```
Zr2MnNb
1.0
7.3751 0.0000 0.0000
0.0000 7.3751 0.0000
0.0000 0.0000 5.6973
Zr Mn Nb
8 4 4
direct
0.2165 0.2500 0.1250
0.2500 0.7165 0.3750
0.2500 0.7835 0.8750
0.2835 0.2500 0.6250
0.7165 0.7500 0.6250
0.7500 0.2165 0.8750
0.7500 0.2835 0.3750
0.7835 0.7500 0.1250
0.0000 0.0000 0.0000
0.0000 0.5000 0.2500
0.5000 0.0000 0.7500
0.5000 0.5000 0.5000
0.0000 0.0000 0.5000
0.0000 0.5000 0.7500
0.5000 0.0000 0.2500
0.5000 0.5000 0.0000
```

=====

[9]
Compound: Cs3LaPm2Te6
Source: Alexandria
Functional: GGA-PBE
Structure: relaxed

Computed properties:
Formation energy (no corrections), meV per atom: -1441.3

The structure in POSCAR format:
```
Cs3LaPm2Te6
1.0
4.0621 -7.0359 0.0000
4.0621 7.0359 0.0000
-2.7078 0.0000 8.9401
Cs La Pm Te
3 1 2 6
direct
0.0000 0.0000 0.0000
0.3344 0.6656 0.0000
0.6656 0.3344 0.0000
0.5000 0.5000 0.5000
0.1668 0.8332 0.5000
0.8332 0.1668 0.5000
0.0966 0.4351 0.3054
0.2262 0.2262 0.6942
0.4351 0.0966 0.3054
0.5649 0.9034 0.6946
0.7738 0.7738 0.3058
0.9034 0.5649 0.6946
```

=====

[10]
Compound: SrCePa2S8
Source: Alexandria
Functional: GGA-PBE
Structure: relaxed

Computed properties:
Formation energy (no corrections), meV per atom: -1627.4

The structure in POSCAR format:
```
SrCePa2S8
1.0
6.3031 0.0000 0.0000
0.0000 8.3926 0.0000
-0.1920 0.0000 6.4180
Sr Ce Pa S
1 1 2 8
direct
0.0000 0.0000 0.0000
0.0000 0.5000 0.0000
0.5000 0.2506 0.5000
0.5000 0.7494 0.5000
0.2438 0.2691 0.1726
0.2438 0.7309 0.1726
0.2866 0.5000 0.6598
0.2909 0.0000 0.6403
0.7091 0.0000 0.3597
0.7134 0.5000 0.3402
0.7562 0.2691 0.8274
0.7562 0.7309 0.8274
```

=====

[11]
Compound: PrHo2Mg2
Source: Alexandria
Functional: GGA-PBE
Structure: relaxed

Computed properties:
Excess energy over the best structure of this formula in the dataset, meV per atom: 0
Energy of formation from the pure elements, kJ/mol of formula units: -31

The structure in POSCAR format:
```
PrHo2Mg2
1.0
3.7647 0.0000 0.0000
0.0000 5.5047 0.0000
-1.8864 0.0000 13.9886
Pr Ho Mg
2 4 4
direct
0.1512 0.2500 0.3009
0.8488 0.7500 0.6991
0.0448 0.7500 0.0893
0.2373 0.7500 0.4749
0.7627 0.2500 0.5251
0.9552 0.2500 0.9107
0.3600 0.2500 0.7200
0.4495 0.7500 0.8989
0.5505 0.2500 0.1011
0.6400 0.7500 0.2800
```

=====

[12]
Compound: AcAlAs2O8
Source: Alexandria
Functional: GGA-PBE
Structure: relaxed

Computed properties:
Formation energy (no corrections), meV per atom: -2118.0

The structure in POSCAR format:
```
AcAlAs2O8
1.0
5.3484 0.0000 0.0000
-2.6742 4.6318 0.0000
0.0000 0.0000 6.9596
Ac Al As O
1 1 2 8
direct
0.0000 0.0000 0.0000
0.0000 0.0000 0.5000
0.3333 0.6667 0.2560
0.6667 0.3333 0.7440
0.1564 0.3128 0.3243
0.1564 0.8436 0.3243
0.3128 0.1564 0.6757
0.3333 0.6667 0.0110
0.6667 0.3333 0.9890
0.6872 0.8436 0.3243
0.8436 0.1564 0.6757
0.8436 0.6872 0.6757
```